No. 1
A plane-wave DFT calculation with PBE-GGA was carried out for PrGdMg4Pt2 after structural relaxation.

The structure in CIF format:
```
data_PrGdMg4Pt2
_space_group_name_H-M_alt 'A m m 2'
_space_group_IT_number 38
_space_group_name_Hall 'A 2 -2'
_cell_length_a 8.270
_cell_length_b 4.249
_cell_length_c 10.326
_cell_angle_alpha 90.00
_cell_angle_beta 90.00
_cell_angle_gamma 90.00
loop_
_atom_site_label
_atom_site_fract_x
_atom_site_fract_y
_atom_site_fract_z
Pr1 0.000 0.000 0.000
Gd1 0.500 0.000 0.877
Mg1 0.198 0.000 0.287
Mg2 0.307 0.000 0.591
Pt1 0.000 0.000 0.710
Pt2 0.500 0.000 0.170
```


No. 2
# ScTaTlCu | OQMD via LeMat-Bulk | PBE-GGA | optimized geometry
# relative energy among the computed polymorphs: 0 meV per atom
data_ScTaTlCu
_space_group_name_H-M_alt 'F -4 3 m'
_space_group_IT_number 216
_space_group_name_Hall 'F -4 2 3'
_cell_length_a 6.774
_cell_length_b 6.774
_cell_length_c 6.774
_cell_angle_alpha 90.00
_cell_angle_beta 90.00
_cell_angle_gamma 90.00
loop_
_atom_site_label
_atom_site_fract_x
_atom_site_fract_y
_atom_site_fract_z
Sc1 0.000 0.000 0.000
Ta1 0.250 0.250 0.750
Tl1 0.250 0.250 0.250
Cu1 0.000 0.000 0.500


No. 3
A plane-wave DFT calculation with PBE-GGA was carried out for Pr2Sm2C2IBr4 after structural relaxation.

The structure in CIF format:
```
data_Pr2Sm2C2IBr4
_space_group_name_H-M_alt 'C 1 2/m 1'
_space_group_IT_number 12
_space_group_name_Hall '-C 2y'
_cell_length_a 19.414
_cell_length_b 3.992
_cell_length_c 8.671
_cell_angle_alpha 90.00
_cell_angle_beta 104.68
_cell_angle_gamma 90.00
loop_
_atom_site_label
_atom_site_fract_x
_atom_site_fract_y
_atom_site_fract_z
Pr1 0.000 0.000 0.193
Sm1 0.156 0.500 0.096
C1 0.037 0.500 0.023
I1 0.000 0.500 0.500
Br1 0.164 0.000 0.347
Br2 0.170 0.000 0.849
```


No. 4
# PmDyCu | OQMD via LeMat-Bulk | PBE-GGA | optimized geometry
# relative energy among the computed polymorphs: 0 meV per atom
# ΔH_f (0 K): 0.26 eV per formula unit
data_PmDyCu
_space_group_name_H-M_alt 'F -4 3 m'
_space_group_IT_number 216
_space_group_name_Hall 'F -4 2 3'
_cell_length_a 6.885
_cell_length_b 6.885
_cell_length_c 6.885
_cell_angle_alpha 90.00
_cell_angle_beta 90.00
_cell_angle_gamma 90.00
loop_
_atom_site_label
_atom_site_fract_x
_atom_site_fract_y
_atom_site_fract_z
Pm1 0.000 0.000 0.000
Dy1 0.000 0.000 0.500
Cu1 0.250 0.250 0.750


Calculated values (eV per atom) of energy for the records, taken in order: -4.167 -5.543 -5.468 -4.267.